Entry 1:
The following is a DFT calculation (PBE) of a geometry-optimized Mg3Tl3Cd structure.

Values from the calculation:
The polymorph energy (0 for the lowest one) is 0.000 eV/atom. The formation enthalpy at 0 K comes out at -13 meV per atom.

The structure in CIF format:
```
data_Mg3Tl3Cd
_cell_length_a 8.5145
_cell_length_b 8.5145
_cell_length_c 16.9104
_cell_angle_alpha 90.00
_cell_angle_beta 90.00
_cell_angle_gamma 120.00
_space_group_name_H-M_alt 'R -3'
_space_group_IT_number 148
_space_group_name_Hall '-R 3'
loop_
_atom_site_label
_atom_site_type_symbol
_atom_site_fract_x
_atom_site_fract_y
_atom_site_fract_z
Mg1 Mg 0.0464 0.8036 0.4187
Tl1 Tl 0.0370 0.7932 0.9134
Cd1 Cd 0.0000 0.0000 0.2749
```

Entry 2:
The following is a DFT calculation (PBE) of a geometry-optimized ZrCr2Fe2 structure.

Values from the calculation:
The polymorph energy (0 for the lowest one) is 0.000 eV/atom. The formation enthalpy at 0 K comes out at 28 meV per atom.

The structure in CIF format:
```
data_ZrCr2Fe2
_cell_length_a 3.859
_cell_length_b 3.859
_cell_length_c 9.357
_cell_angle_alpha 90.00
_cell_angle_beta 90.00
_cell_angle_gamma 90.00
_space_group_name_H-M_alt 'I 4/m m m'
_space_group_IT_number 139
_space_group_name_Hall '-I 4 2'
loop_
_atom_site_label
_atom_site_type_symbol
_atom_site_fract_x
_atom_site_fract_y
_atom_site_fract_z
Zr1 Zr 0.000 0.000 0.000
Cr1 Cr 0.000 0.500 0.250
Fe1 Fe 0.000 0.000 0.376
```

Entry 3:
The following is a DFT calculation (PBE) of a geometry-optimized InIr3O structure.

Values from the calculation:
The raw formation energy comes out at 2.7298 eV/atom. The polymorph energy (0 for the lowest one) is 2.063 eV/atom.

The structure in CIF format:
```
data_InIr3O
_cell_length_a 4.948
_cell_length_b 4.948
_cell_length_c 4.948
_cell_angle_alpha 90.00
_cell_angle_beta 90.00
_cell_angle_gamma 90.00
_space_group_name_H-M_alt 'P m -3 m'
_space_group_IT_number 221
_space_group_name_Hall '-P 4 2 3'
loop_
_atom_site_label
_atom_site_type_symbol
_atom_site_fract_x
_atom_site_fract_y
_atom_site_fract_z
In1 In 0.000 0.000 0.000
Ir1 Ir 0.000 0.000 0.500
O1 O 0.500 0.500 0.500
```

Entry 4:
The following is a DFT calculation (PBE) of a geometry-optimized BeB4 structure.

Values from the calculation:
The polymorph energy (0 for the lowest one) is 1.828 eV/atom. The formation enthalpy at 0 K comes out at 2162 meV per atom.

The structure in CIF format:
```
data_BeB4
_cell_length_a 3.487
_cell_length_b 3.487
_cell_length_c 3.487
_cell_angle_alpha 90.00
_cell_angle_beta 90.00
_cell_angle_gamma 90.00
_space_group_name_H-M_alt 'P m -3 m'
_space_group_IT_number 221
_space_group_name_Hall '-P 4 2 3'
loop_
_atom_site_label
_atom_site_type_symbol
_atom_site_fract_x
_atom_site_fract_y
_atom_site_fract_z
Be1 Be 0.000 0.000 0.000
B1 B 0.000 0.000 0.500
B2 B 0.500 0.500 0.500
```

Entry 5:
The following is a DFT calculation (PBE) of a geometry-optimized BeCo3C structure.

Values from the calculation:
The formation enthalpy at 0 K comes out at 39 meV per atom.

The structure in CIF format:
```
data_BeCo3C
_cell_length_a 3.657
_cell_length_b 3.657
_cell_length_c 3.657
_cell_angle_alpha 90.00
_cell_angle_beta 90.00
_cell_angle_gamma 90.00
_space_group_name_H-M_alt 'P m -3 m'
_space_group_IT_number 221
_space_group_name_Hall '-P 4 2 3'
loop_
_atom_site_label
_atom_site_type_symbol
_atom_site_fract_x
_atom_site_fract_y
_atom_site_fract_z
Be1 Be 0.000 0.000 0.000
Co1 Co 0.000 0.500 0.500
C1 C 0.500 0.500 0.500
```

Entry 6:
The following is a DFT calculation (PBE) of a geometry-optimized LiHg2Cl structure.

Values from the calculation:
The raw formation energy comes out at -0.5000 eV/atom. The polymorph energy (0 for the lowest one) is 0.331 eV/atom.

The structure in CIF format:
```
data_LiHg2Cl
_cell_length_a 5.137
_cell_length_b 5.137
_cell_length_c 7.772
_cell_angle_alpha 90.00
_cell_angle_beta 90.00
_cell_angle_gamma 90.00
_space_group_name_H-M_alt 'I -4 m 2'
_space_group_IT_number 119
_space_group_name_Hall 'I -4 -2'
loop_
_atom_site_label
_atom_site_type_symbol
_atom_site_fract_x
_atom_site_fract_y
_atom_site_fract_z
Li1 Li 0.000 0.000 0.000
Hg1 Hg 0.000 0.000 0.500
Hg2 Hg 0.000 0.500 0.250
Cl1 Cl 0.000 0.500 0.750
```